Record 1
Computed, not measured: CdFeCu after structural relaxation at the PBE level of DFT.

The structure in extended XYZ format:
```
3
Lattice="4.3713 0.0000 0.0000 -2.1856 3.7856 0.0000 0.0000 0.0000 2.7181" Properties=species:S:1:pos:R:3 pbc="T T T"
Cd 0.0000 0.0000 0.0424
Fe 2.1856 1.2619 1.6407
Cu 0.0000 2.5238 1.0350
```

## Properties
DOS at the Fermi energy, states/eV/cell: 2.36
Offset from the most stable computed form, eV per atom: 0.1287
Crystal system: trigonal
E_form, eV/atom: 0.341
Calculated total energy, Ry/atom: -0.305
Total magnetization, μB per cell: 2.82

Record 2
Computed, not measured: Cd2FeCu after structural relaxation at the PBE level of DFT.

The structure in extended XYZ format:
```
4
Lattice="4.1935 0.0000 0.0000 0.0000 4.1940 0.0000 0.0000 0.0000 3.7310" Properties=species:S:1:pos:R:3 pbc="T T T"
Cd 2.0967 2.0970 0.0000
Cd 0.0000 0.0000 0.0000
Cu 2.0967 0.0000 1.8655
Fe 0.0000 2.0970 1.8655
```

## Properties
DOS at the Fermi energy, states/eV/cell: 3.33
Offset from the most stable computed form, eV per atom: 0.0721
Crystal system: tetragonal
E_form, eV/atom: 0.267
Calculated total energy, Ry/atom: -0.245
Total magnetization, μB per cell: 2.43

Record 3
Computed, not measured: Cd2FeCu after structural relaxation at the PBE level of DFT.

The structure in extended XYZ format:
```
4
Lattice="-0.5757 8.6408 -4.4096 -3.3750 8.0619 -4.2492 -2.0363 9.2824 -2.0322" Properties=species:S:1:pos:R:3 pbc="T T T"
Cd -0.0573 0.2485 -0.1022
Cd -1.4394 6.2472 -2.5703
Cu -2.9462 12.7872 -5.2610
Fe -4.5377 19.6948 -8.1030
```

## Properties
DOS at the Fermi energy, states/eV/cell: 2.57
Offset from the most stable computed form, eV per atom: 0.0681
Crystal system: trigonal
E_form, eV/atom: 0.263
Calculated total energy, Ry/atom: -0.245
Total magnetization, μB per cell: 2.79

Record 4
Computed, not measured: CdFeCu after structural relaxation at the PBE level of DFT.

The structure in extended XYZ format:
```
3
Lattice="-3.4483 -1.2226 -2.0546 -0.9148 -4.0826 -0.3200 -3.2511 -1.5940 2.1203" Properties=species:S:1:pos:R:3 pbc="T T T"
Cd -3.8071 -3.4496 -0.1271
Cu -5.7107 -5.1744 -0.1907
Fe 0.0000 0.0000 0.0000
```

## Properties
DOS at the Fermi energy, states/eV/cell: 0.92
Offset from the most stable computed form, eV per atom: 0.3262
Crystal system: cubic
E_form, eV/atom: 0.538
Calculated total energy, Ry/atom: -0.291
Total magnetization, μB per cell: 3.00

Record 5
Computed, not measured: Cd2FeCu after structural relaxation at the PBE level of DFT.

The structure in extended XYZ format:
```
4
Lattice="2.9567 0.0000 0.0000 0.0000 2.9567 0.0000 0.0000 0.0000 7.6028" Properties=species:S:1:pos:R:3 pbc="T T T"
Cd 1.4783 1.4783 2.1752
Cd 0.0000 0.0000 7.3684
Cu 0.0000 0.0000 4.0181
Fe 1.4783 1.4783 5.4453
```

## Properties
DOS at the Fermi energy, states/eV/cell: 1.97
Offset from the most stable computed form, eV per atom: 0.0000
Crystal system: tetragonal
E_form, eV/atom: 0.195
Calculated total energy, Ry/atom: -0.250
Total magnetization, μB per cell: 2.76

Record 6
Computed, not measured: Cd2FeCu after structural relaxation at the PBE level of DFT.

The structure in extended XYZ format:
```
4
Lattice="0.0000 3.2080 3.2080 3.2080 0.0000 3.2080 3.2080 3.2080 0.0000" Properties=species:S:1:pos:R:3 pbc="T T T"
Cu 3.2080 3.2080 3.2080
Fe 0.0000 0.0000 0.0000
Cd 1.6040 1.6040 1.6040
Cd 4.8120 4.8120 4.8120
```

## Properties
DOS at the Fermi energy, states/eV/cell: 6.20
Offset from the most stable computed form, eV per atom: 0.1062
Crystal system: cubic
E_form, eV/atom: 0.301
Calculated total energy, Ry/atom: -0.242
Total magnetization, μB per cell: 2.68

Which value of calculated total energy does entry 5 give?
-0.250 Ry/atom

Which value of calculated total energy does entry 2 give?
-0.245 Ry/atom